SrRhSe (PBEsol, optimized geometry); excess energy over the best structure of this formula in the dataset = 1130 meV/atom; density of states at the Fermi level = 2.8 states/eV per cell; symmetry = F-43m, No. 216; energy relative to the elements, uncorrected = 0.167 eV per atom
1.0
4.770 0.000 0.000
2.385 4.131 0.000
2.385 1.377 3.895
Rh Se Sr
1 1 1
Direct
0.000 0.000 0.000
0.500 0.500 0.500
0.250 0.250 0.250

***

SrRhSe3 (PBEsol, optimized geometry); density of states at the Fermi level = 12.4 states/eV per cell; symmetry = Pm-3m, No. 221; energy relative to the elements, uncorrected = 1.059 eV per atom
1.0
-2.790 -2.818 -3.861
4.530 -0.131 -3.177
1.527 -4.761 2.372
Sr Rh Se
1 1 3
Direct
0.000 0.000 0.000
0.500 0.500 0.500
0.000 0.500 0.000
0.000 0.000 0.500
0.500 0.000 0.000

***

SrRhSe2 (PBEsol, optimized geometry); excess energy over the best structure of this formula in the dataset = 0 meV/atom; density of states at the Fermi level = 3.5 states/eV per cell; symmetry = R-3m, No. 166; energy relative to the elements, uncorrected = -0.943 eV per atom
1.0
-2.030 1.031 3.405
-2.605 -2.655 1.715
2.867 -2.739 5.002
Sr Rh Se
1 1 2
Direct
0.500 0.500 0.500
0.000 0.000 0.000
0.274 0.274 0.178
0.726 0.726 0.822

***

SrRh2Se (PBEsol, optimized geometry); density of states at the Fermi level = 2.4 states/eV per cell; symmetry = P4/mmm, No. 123; energy relative to the elements, uncorrected = -0.046 eV per atom
1.0
3.148 0.000 0.000
0.000 3.148 0.000
0.000 0.000 7.355
Rh Se Sr
2 1 1
Direct
0.000 0.000 0.806
0.000 0.000 0.194
0.500 0.500 0.000
0.500 0.500 0.500